1.
A relaxed KZrGaTe3 crystal, computed with PBE.

Calculated values
The raw total energy comes out at -4.374 eV/atom.

Unit cell a=8.231 b=8.231 c=12.256 alpha=90.00 beta=90.00 gamma=151.07
Sites, in units of the cell vectors:
Zr: 0.500 0.500 0.500
Zr: 0.500 0.500 0.000
Ga: 0.890 0.110 0.750
Ga: 0.110 0.890 0.250
K: 0.784 0.216 0.250
K: 0.216 0.784 0.750
Te: 0.129 0.871 0.008
Te: 0.491 0.509 0.250
Te: 0.509 0.491 0.750
Te: 0.129 0.871 0.492
Te: 0.871 0.129 0.508
Te: 0.871 0.129 0.992



2.
A relaxed KTmGa crystal, computed with PBE.

Calculated values
Its energy above the most stable polymorph in this dataset is 0 meV/atom.

Unit cell a=5.145 b=5.145 c=5.145 alpha=60.00 beta=60.00 gamma=60.00
Sites, in units of the cell vectors:
Tm: 0.000 0.000 0.000
Ga: 0.250 0.250 0.250
K: 0.750 0.750 0.750



Number 1: magnetic moment 0.0 μB/cell, volume 33.5 Å³ per atom. Number 2: magnetic moment 0.8 μB/cell, volume 32.1 Å³ per atom.